(P)
Here is a relaxed Ho6Ni2Pt crystal from Alexandria via LeMat-Bulk. Energies are from GGA-PBE.

Properties
Volume   25.47 Å³ per atom

Lattice parameters (Å, degrees): 6.439 7.034 10.137 90.00 93.22 90.00
Sites, in units of the cell vectors:
Ho (0.183, 0.332, 0.418)
Ho (0.317, 0.832, 0.082)
Ho (0.334, 0.552, 0.743)
Ho (0.846, 0.685, 0.924)
Ho (0.817, 0.668, 0.582)
Ho (0.166, 0.052, 0.757)
Ho (0.666, 0.448, 0.257)
Ho (0.154, 0.315, 0.076)
Ho (0.834, 0.948, 0.243)
Ho (0.346, 0.815, 0.424)
Ho (0.654, 0.185, 0.576)
Ho (0.683, 0.168, 0.918)
Ni (0.442, 0.115, 0.267)
Ni (0.942, 0.385, 0.767)
Ni (0.558, 0.885, 0.733)
Ni (0.058, 0.615, 0.233)
Pt (0.000, 0.000, 0.500)
Pt (0.500, 0.500, 0.000)



(Q)
Here is a relaxed Ho6Ni2Pt crystal from Alexandria via LeMat-Bulk. Energies are from GGA-PBE.

Properties
Volume   23.44 Å³ per atom

Lattice parameters (Å, degrees): 8.185 8.185 8.185 108.40 109.49 110.53
Sites, in units of the cell vectors:
Ho (0.186, 0.250, 0.437)
Ho (0.907, 0.731, 0.176)
Ho (0.814, 0.250, 0.064)
Ho (0.692, 0.363, 0.671)
Ho (0.308, 0.980, 0.671)
Ho (0.692, 0.020, 0.329)
Ho (0.554, 0.731, 0.824)
Ho (0.308, 0.637, 0.329)
Ho (0.446, 0.269, 0.176)
Ho (0.093, 0.269, 0.824)
Ho (0.186, 0.750, 0.936)
Ho (0.814, 0.750, 0.563)
Ni (0.500, 0.380, 0.880)
Ni (0.342, 0.000, 0.342)
Ni (0.500, 0.620, 0.120)
Ni (0.658, 0.000, 0.658)
Pt (0.000, 0.500, 0.500)
Pt (0.000, 0.000, 0.000)



Verdict on stability: (P) comes out at the bottom.



(P)
Here is a relaxed Ho8Ni2Pt crystal from Alexandria via LeMat-Bulk. Energies are from GGA-PBE.

Properties
Volume   24.75 Å³ per atom

Lattice parameters (Å, degrees): 4.986 6.574 8.950 104.36 106.17 90.00
Sites, in units of the cell vectors:
Ho (0.038, 0.787, 0.075)
Ho (0.591, 0.451, 0.181)
Ho (0.409, 0.549, 0.819)
Ho (0.204, 0.335, 0.407)
Ho (0.962, 0.213, 0.925)
Ho (0.796, 0.665, 0.593)
Ho (0.328, 0.017, 0.657)
Ho (0.672, 0.983, 0.343)
Ni (0.187, 0.730, 0.374)
Ni (0.813, 0.270, 0.626)
Pt (0.500, 0.000, 0.000)



(Q)
Here is a relaxed Ho8Ni2Pt crystal from Alexandria via LeMat-Bulk. Energies are from GGA-PBE.

Properties
Volume   26.01 Å³ per atom

Lattice parameters (Å, degrees): 5.856 7.484 7.484 113.43 99.81 99.81
Sites, in units of the cell vectors:
Ho (0.988, 0.221, 0.784)
Ho (0.170, 0.368, 0.368)
Ho (0.384, 0.663, 0.924)
Ho (0.806, 0.637, 0.637)
Ho (0.579, 0.082, 0.344)
Ho (0.988, 0.784, 0.221)
Ho (0.579, 0.344, 0.082)
Ho (0.384, 0.924, 0.663)
Ni (0.489, 0.697, 0.311)
Ni (0.489, 0.311, 0.697)
Pt (0.145, 0.003, 0.003)



Verdict on stability: (Q) comes out at the bottom.



(P)
Here is a relaxed HoScNiPt crystal from Alexandria via LeMat-Bulk. Energies are from GGA-PBE.

Properties
Volume   18.70 Å³ per atom

Lattice parameters (Å, degrees): 4.729 4.729 4.729 60.00 60.00 60.00
Sites, in units of the cell vectors:
Ni (0.750, 0.750, 0.750)
Pt (0.250, 0.250, 0.250)
Sc (0.000, 0.000, 0.000)
Ho (0.500, 0.500, 0.500)



(Q)
Here is a relaxed HoScNiPt crystal from Alexandria via LeMat-Bulk. Energies are from GGA-PBE.

Properties
Volume   19.56 Å³ per atom

Lattice parameters (Å, degrees): 3.680 4.296 5.279 90.00 110.40 90.00
Sites, in units of the cell vectors:
Ho (0.144, 0.000, 0.288)
Ni (0.418, 0.000, 0.837)
Sc (0.861, 0.500, 0.723)
Pt (0.576, 0.500, 0.152)



Verdict on stability: (P) comes out at the bottom.



(P)
Here is a relaxed HoThNiPt crystal from Alexandria via LeMat-Bulk. Energies are from GGA-PBE.

Properties
Volume   22.11 Å³ per atom

Lattice parameters (Å, degrees): 3.762 4.298 5.784 90.00 108.98 90.00
Sites, in units of the cell vectors:
Th (0.865, 0.500, 0.731)
Pt (0.585, 0.500, 0.170)
Ni (0.408, 0.000, 0.816)
Ho (0.142, 0.000, 0.283)



(Q)
Here is a relaxed HoThNiPt crystal from Alexandria via LeMat-Bulk. Energies are from GGA-PBE.

Properties
Volume   21.74 Å³ per atom

Lattice parameters (Å, degrees): 4.973 4.973 4.973 60.00 60.00 60.00
Sites, in units of the cell vectors:
Ni (0.250, 0.250, 0.250)
Ho (0.500, 0.500, 0.500)
Th (0.000, 0.000, 0.000)
Pt (0.750, 0.750, 0.750)



Verdict on stability: (Q) comes out at the bottom.



(P)
Here is a relaxed HoTmNiPt crystal from Alexandria via LeMat-Bulk. Energies are from GGA-PBE.

Properties
Volume   20.77 Å³ per atom

Lattice parameters (Å, degrees): 3.784 4.286 5.460 90.00 110.28 90.00
Sites, in units of the cell vectors:
Ni (0.420, 0.000, 0.839)
Tm (0.861, 0.500, 0.721)
Ho (0.142, 0.000, 0.284)
Pt (0.578, 0.500, 0.155)



(Q)
Here is a relaxed HoTmNiPt crystal from Alexandria via LeMat-Bulk. Energies are from GGA-PBE.

Properties
Volume   19.92 Å³ per atom

Lattice parameters (Å, degrees): 4.830 4.830 4.830 60.00 60.00 60.00
Sites, in units of the cell vectors:
Ho (0.000, 0.000, 0.000)
Pt (0.750, 0.750, 0.750)
Tm (0.500, 0.500, 0.500)
Ni (0.250, 0.250, 0.250)



Verdict on stability: (Q) comes out at the bottom.



(P)
Here is a relaxed Ho2PuNi crystal from Alexandria via LeMat-Bulk. Energies are from GGA-PBE.

Properties
Volume   24.37 Å³ per atom

Lattice parameters (Å, degrees): 3.388 3.388 8.493 90.00 90.00 90.00
Sites, in units of the cell vectors:
Ho (0.000, 0.000, 0.809)
Ho (0.000, 0.000, 0.191)
Ni (0.500, 0.500, 0.000)
Pu (0.500, 0.500, 0.500)



(Q)
Here is a relaxed Ho2PuNi crystal from Alexandria via LeMat-Bulk. Energies are from GGA-PBE.

Properties
Volume   27.05 Å³ per atom

Lattice parameters (Å, degrees): 3.484 3.484 10.485 80.44 80.44 60.00
Sites, in units of the cell vectors:
Ho (0.891, 0.891, 0.326)
Ho (0.109, 0.109, 0.674)
Pu (0.000, 0.000, 0.000)
Ni (0.500, 0.500, 0.500)



Verdict on stability: (Q) comes out at the bottom.